## Ba2Mg3Cd4Hg (PBE)

Data for Ba2Mg3Cd4Hg after structural relaxation.

The value obtained for the theoretical density is 5.61 g/cm³. Its total magnetization is 0.00 μB per formula unit. The volume is 295.29 Å³ per cell. The calculation puts the formation energy at -215 kJ/mol of formula units. The value obtained for the calculated total energy is -1.482 eV/atom.

Unit cell a=4.7690 b=4.7690 c=12.9839 alpha=90.00 beta=90.00 gamma=90.00
Fractional coordinates of all 10 atoms:
1 Cd 0.0000 0.0000 0.0000
2 Cd 0.0000 0.5000 0.3589
3 Hg 0.5000 0.5000 0.5000
4 Ba 0.5000 0.0000 0.2517
5 Mg 0.0000 0.0000 0.5000
6 Mg 0.0000 0.5000 0.1329
7 Cd 0.5000 0.5000 0.0000
8 Mg 0.5000 0.0000 0.8671
9 Ba 0.0000 0.5000 0.7483
10 Cd 0.5000 0.0000 0.6411

## BaMg6CdHg (PBE)

Data for BaMg6CdHg after structural relaxation.

The value obtained for the theoretical density is 3.84 g/cm³. Its total magnetization is 0.00 μB per formula unit. The volume is 515.67 Å³ per cell. The calculation puts the formation energy at 3 kJ/mol of formula units. The value obtained for the calculated total energy is -1.408 eV/atom.

Unit cell a=7.8309 b=10.3393 c=9.0895 alpha=124.66 beta=115.52 gamma=90.00
Fractional coordinates of all 18 atoms:
1 Mg 0.4150 0.1650 0.8300
2 Mg 0.9286 0.1103 0.2477
3 Mg 0.5850 0.8350 0.1700
4 Mg 0.0714 0.3626 0.7523
5 Hg 0.5000 0.5000 0.0000
6 Mg 0.3191 0.1103 0.2477
7 Ba 0.6997 0.4497 0.3995
8 Mg 0.0027 0.7527 0.0054
9 Mg 0.9973 0.2473 0.9946
10 Cd 0.5000 0.0000 0.5000
11 Hg 0.5000 0.0000 0.0000
12 Mg 0.0714 0.8897 0.7523
13 Cd 0.0000 0.0000 0.5000
14 Ba 0.3003 0.5503 0.6005
15 Mg 0.3191 0.6374 0.2477
16 Mg 0.6809 0.3626 0.7523
17 Mg 0.9286 0.6374 0.2477
18 Mg 0.6809 0.8897 0.7523

## BaMg4Cd2Hg (PBE)

Data for BaMg4Cd2Hg after structural relaxation.

The value obtained for the theoretical density is 5.07 g/cm³. Its total magnetization is 0.00 μB per formula unit. The volume is 216.29 Å³ per cell. The calculation puts the formation energy at -131 kJ/mol of formula units. The value obtained for the calculated total energy is -1.474 eV/atom.

Unit cell a=4.9095 b=4.9095 c=10.7422 alpha=76.79 beta=76.79 gamma=60.00
Fractional coordinates of all 8 atoms:
1 Mg 0.5909 0.5909 0.2272
2 Ba 0.0000 0.0000 0.0000
3 Mg 0.8673 0.8673 0.3980
4 Mg 0.4091 0.4091 0.7728
5 Cd 0.7493 0.7493 0.7520
6 Mg 0.1327 0.1327 0.6020
7 Cd 0.2507 0.2507 0.2480
8 Hg 0.5000 0.5000 0.5000

## BaMg2CdHg5 (PBE)

Data for BaMg2CdHg5 after structural relaxation.

The value obtained for the theoretical density is 8.06 g/cm³. Its total magnetization is 0.00 μB per formula unit. The volume is 268.10 Å³ per cell. The calculation puts the formation energy at -122 kJ/mol of formula units. The value obtained for the calculated total energy is -0.978 eV/atom.

Unit cell a=5.3355 b=6.7501 c=8.5979 alpha=113.11 beta=108.08 gamma=90.00
Fractional coordinates of all 9 atoms:
1 Cd 0.5000 0.0000 0.0000
2 Hg 0.3341 0.5821 0.6681
3 Hg 0.6659 0.9139 0.3319
4 Hg 0.0000 0.0000 0.0000
5 Ba 0.0000 0.5000 0.0000
6 Mg 0.8155 0.8155 0.6310
7 Hg 0.6659 0.4179 0.3319
8 Mg 0.1845 0.1845 0.3690
9 Hg 0.3341 0.0861 0.6681

## BaMg2Cd2Hg2 (PBE)

Data for BaMg2Cd2Hg2 after structural relaxation.

The value obtained for the theoretical density is 6.85 g/cm³. Its total magnetization is 0.00 μB per formula unit. The volume is 196.86 Å³ per cell. The calculation puts the formation energy at -158 kJ/mol of formula units. The value obtained for the calculated total energy is -1.313 eV/atom.

Unit cell a=4.9736 b=4.9736 c=9.6275 alpha=75.03 beta=75.03 gamma=60.00
Fractional coordinates of all 7 atoms:
1 Hg 0.5817 0.5817 0.2549
2 Hg 0.4183 0.4183 0.7451
3 Mg 0.8656 0.8656 0.4032
4 Cd 0.2425 0.2425 0.2725
5 Ba 0.0000 0.0000 0.0000
6 Cd 0.7575 0.7575 0.7275
7 Mg 0.1344 0.1344 0.5968

## Ba2MgCd3Hg12 (PBE)

Data for Ba2MgCd3Hg12 after structural relaxation.

The value obtained for the theoretical density is 9.50 g/cm³. Its total magnetization is 0.00 μB per formula unit. The volume is 531.73 Å³ per cell. The calculation puts the formation energy at -285 kJ/mol of formula units. The value obtained for the calculated total energy is -0.820 eV/atom.

Unit cell a=13.1574 b=13.1574 c=13.1574 alpha=30.87 beta=30.87 gamma=30.87
Fractional coordinates of all 18 atoms:
1 Mg 0.0000 0.0000 0.0000
2 Hg 0.5943 0.5943 0.1488
3 Hg 0.1177 0.1177 0.6033
4 Hg 0.1177 0.6033 0.1177
5 Hg 0.3967 0.8823 0.8823
6 Hg 0.1488 0.5943 0.5943
7 Hg 0.4057 0.8512 0.4057
8 Hg 0.8823 0.3967 0.8823
9 Cd 0.0000 0.0000 0.5000
10 Cd 0.0000 0.5000 0.0000
11 Ba 0.6377 0.6377 0.6377
12 Hg 0.4057 0.4057 0.8512
13 Hg 0.8823 0.8823 0.3967
14 Hg 0.6033 0.1177 0.1177
15 Cd 0.5000 0.0000 0.0000
16 Hg 0.8512 0.4057 0.4057
17 Hg 0.5943 0.1488 0.5943
18 Ba 0.3623 0.3623 0.3623

## BaMgCd2Hg (PBE)

Data for BaMgCd2Hg after structural relaxation.

The value obtained for the energy above the most stable polymorph in this dataset is 455 meV/atom. The value obtained for the theoretical density is 5.06 g/cm³. Its total magnetization is 0.00 μB per formula unit. The volume is 192.55 Å³ per cell. The calculation puts the formation energy at 71 kJ/mol of formula units. The value obtained for the calculated total energy is -0.983 eV/atom.

Unit cell a=5.5275 b=6.3020 c=5.5275 alpha=90.00 beta=90.00 gamma=90.00
Fractional coordinates of all 5 atoms:
1 Ba 0.0000 0.5000 0.0000
2 Cd 0.0000 0.0000 0.5000
3 Mg 0.5000 0.5000 0.5000
4 Hg 0.0000 0.0000 0.0000
5 Cd 0.5000 0.0000 0.0000

## Ba2Mg4CdHg3 (PBE)

Data for Ba2Mg4CdHg3 after structural relaxation.

The value obtained for the theoretical density is 6.20 g/cm³. Its total magnetization is 0.00 μB per formula unit. The volume is 290.78 Å³ per cell. The calculation puts the formation energy at -293 kJ/mol of formula units. The value obtained for the calculated total energy is -1.508 eV/atom.

Unit cell a=4.8804 b=4.8804 c=12.2080 alpha=90.00 beta=90.00 gamma=90.00
Fractional coordinates of all 10 atoms:
1 Mg 0.5000 0.0000 0.6274
2 Mg 0.0000 0.5000 0.3726
3 Hg 0.0000 0.5000 0.1365
4 Mg 0.5000 0.5000 0.0000
5 Ba 0.0000 0.5000 0.7466
6 Hg 0.0000 0.0000 0.5000
7 Ba 0.5000 0.0000 0.2534
8 Hg 0.5000 0.0000 0.8635
9 Cd 0.5000 0.5000 0.5000
10 Mg 0.0000 0.0000 0.0000